First-principles (PBE-GGA) data for a geometry-optimized Li2HgPd2 structure, as listed in Alexandria via LeMat-Bulk.

Summary:
- Polymorph energy (0 for the lowest one): 242 meV per atom
- Total moment: 0.000 μB per cell
- Symmetry: No. 139

a = 6.9886 Å, b = 6.9886 Å, c = 6.9886 Å
α = 150.30°, β = 150.30°, γ = 42.50°
Closest atoms and distances in Å follow each position.
Positions (direct):
Li1 0.2500 0.7500 0.5000  4 Li 2.53, 4 Pd 2.60
Li2 0.7500 0.2500 0.5000  4 Li 2.53, 4 Pd 2.60
Hg1 0.0000 0.0000 0.0000  8 Pd 2.88
Pd1 0.3943 0.3943 0.0000  4 Li 2.60, 1 Pd 2.75, 4 Hg 2.88
Pd2 0.6057 0.6057 0.0000  4 Li 2.60, 1 Pd 2.75, 4 Hg 2.88



First-principles (PBE-GGA) data for a geometry-optimized Be2ZnCu structure, as listed in Alexandria via LeMat-Bulk.

Summary:
- Total moment: 0.000 μB per cell
- Symmetry: No. 122

a = 5.0765 Å, b = 5.0765 Å, c = 5.0765 Å
α = 102.50°, β = 102.50°, γ = 124.56°
Closest atoms and distances in Å follow each position.
Positions (direct):
Be1 0.1101 0.6250 0.9851  2 Cu 2.26, 2 Be 2.37, 2 Zn 2.39
Be2 0.3750 0.3601 0.4851  2 Cu 2.26, 2 Be 2.37, 2 Zn 2.39
Be3 0.6399 0.1250 0.0149  2 Cu 2.26, 2 Be 2.37, 2 Zn 2.39
Be4 0.8750 0.8899 0.5149  2 Cu 2.26, 2 Be 2.37, 2 Zn 2.39
Zn1 0.2500 0.7500 0.5000  2 Cu 2.36, 4 Be 2.39
Zn2 0.5000 0.5000 0.0000  2 Cu 2.36, 4 Be 2.39
Cu1 0.0000 0.0000 0.0000  4 Be 2.26, 2 Zn 2.36
Cu2 0.7500 0.2500 0.5000  4 Be 2.26, 2 Zn 2.36



First-principles (PBE-GGA) data for a geometry-optimized NiAg3Sn structure, as listed in Alexandria via LeMat-Bulk.

Summary:
- Polymorph energy (0 for the lowest one): 472 meV per atom
- Total moment: 1.019 μB per cell
- Symmetry: No. 221

a = 5.1616 Å, b = 5.1616 Å, c = 5.1616 Å
α = 90.00°, β = 90.00°, γ = 90.00°
Closest atoms and distances in Å follow each position.
Positions (direct):
Ni1 0.0000 0.0000 0.0000  12 Ag 3.65
Ag1 0.0000 0.5000 0.5000  2 Sn 2.58
Ag2 0.5000 0.0000 0.5000  2 Sn 2.58
Ag3 0.5000 0.5000 0.0000  2 Sn 2.58
Sn1 0.5000 0.5000 0.5000  6 Ag 2.58



First-principles (PBE-GGA) data for a geometry-optimized Ce2Al2C3 structure, as listed in Alexandria via LeMat-Bulk.

Summary:
- Total moment: 0.000 μB per cell
- Symmetry: No. 12

a = 5.7828 Å, b = 5.7828 Å, c = 5.6307 Å
α = 104.10°, β = 104.10°, γ = 34.80°
Closest atoms and distances in Å follow each position.
Positions (direct):
Ce1 0.1068 0.1068 0.3117  5 C 2.47-2.70
Ce2 0.8932 0.8932 0.6883  5 C 2.47-2.70
Al1 0.3460 0.3460 0.1261  4 C 2.00-2.22
Al2 0.6540 0.6540 0.8739  4 C 2.00-2.22
C1 0.2167 0.2167 0.7529  3 Al 2.04-2.22
C2 0.5000 0.5000 0.0000  2 Al 2.00
C3 0.7833 0.7833 0.2471  3 Al 2.04-2.22



First-principles (PBE-GGA) data for a geometry-optimized Er4TlAuC structure, as listed in Alexandria via LeMat-Bulk.

Summary:
- Total moment: 0.000 μB per cell
- Symmetry: No. 63

a = 8.1419 Å, b = 8.1419 Å, c = 6.8322 Å
α = 90.00°, β = 90.00°, γ = 130.65°
Closest atoms and distances in Å follow each position.
Positions (direct):
Er1 0.0000 0.5000 0.0000  2 C 2.41
Er2 0.0000 0.5000 0.5000  2 C 2.41
Er3 0.0784 0.9216 0.7500  1 C 2.51
Er4 0.4128 0.5872 0.7500  1 C 2.44
Er5 0.5000 0.0000 0.0000  2 C 2.41
Er6 0.5000 0.0000 0.5000  2 C 2.41
Er7 0.5872 0.4128 0.2500  1 C 2.44
Er8 0.9216 0.0784 0.2500  1 C 2.51
Tl1 0.3848 0.6152 0.2500  5 Er 3.00-3.13
Tl2 0.6152 0.3848 0.7500  5 Er 3.00-3.13
Au1 0.1196 0.8804 0.2500  5 Er 2.93-3.09
Au2 0.8804 0.1196 0.7500  5 Er 2.93-3.09
C1 0.2481 0.7519 0.7500  6 Er 2.41-2.51
C2 0.7519 0.2481 0.2500  6 Er 2.41-2.51



First-principles (PBE-GGA) data for a geometry-optimized ErNpU2As4 structure, as listed in Alexandria via LeMat-Bulk.

Summary:
- Total moment: 8.913 μB per cell
- Symmetry: No. 10

a = 7.0543 Å, b = 4.0655 Å, c = 7.1431 Å
α = 90.00°, β = 109.18°, γ = 90.00°
Closest atoms and distances in Å follow each position.
Positions (direct):
Er1 0.0000 0.0000 0.0000  6 As 2.88-2.89
Np1 0.5000 0.5000 0.0000  6 As 2.90
U1 0.0000 0.5000 0.5000  6 As 2.89
U2 0.5000 0.0000 0.5000  6 As 2.89-2.90
As1 0.2485 0.0000 0.7501  1 Er 2.88, 3 U 2.89-2.90, 2 Np 2.90
As2 0.2490 0.5000 0.2501  3 U 2.89, 2 Er 2.89, 1 Np 2.90
As3 0.7510 0.5000 0.7499  3 U 2.89, 2 Er 2.89, 1 Np 2.90
As4 0.7515 0.0000 0.2499  1 Er 2.88, 3 U 2.89-2.90, 2 Np 2.90



First-principles (PBE-GGA) data for a geometry-optimized Y5Al2In structure, as listed in Alexandria via LeMat-Bulk.

Summary:
- Total moment: 0.006 μB per cell
- Symmetry: No. 140

a = 9.0992 Å, b = 9.0992 Å, c = 9.0992 Å
α = 128.80°, β = 128.80°, γ = 75.34°
Closest atoms and distances in Å follow each position.
Positions (direct):
Y1 0.0000 0.0000 0.0000  4 Al 3.12
Y2 0.0222 0.5222 0.8357  3 Al 3.12-3.14, 2 In 3.29
Y3 0.1864 0.0222 0.5000  3 Al 3.12-3.14, 2 In 3.29
Y4 0.3136 0.8136 0.8357  3 Al 3.12-3.14, 2 In 3.29
Y5 0.4778 0.3136 0.5000  3 Al 3.12-3.14, 2 In 3.29
Y6 0.5000 0.5000 0.0000  4 Al 3.12
Y7 0.5222 0.6864 0.5000  3 Al 3.12-3.14, 2 In 3.29
Y8 0.6864 0.1864 0.1643  3 Al 3.12-3.14, 2 In 3.29
Y9 0.8136 0.9778 0.5000  3 Al 3.12-3.14, 2 In 3.29
Y10 0.9778 0.4778 0.1643  3 Al 3.12-3.14, 2 In 3.29
Al1 0.1220 0.3780 0.5000  1 Al 2.71
Al2 0.3780 0.8780 0.2560  1 Al 2.71
Al3 0.6220 0.1220 0.7440  1 Al 2.71
Al4 0.8780 0.6220 0.5000  1 Al 2.71
In1 0.2500 0.2500 0.0000  10 Y 3.29-3.60
In2 0.7500 0.7500 0.0000  10 Y 3.29-3.60



Number 1: ΔH_f (0 K) -0.51 eV/f.u., calculated volume 83.6 Å³ per cell. Number 2: ΔH_f (0 K) 1.91 eV/f.u., calculated volume 95.4 Å³ per cell. Number 3: ΔH_f (0 K) 5.35 eV/f.u., calculated volume 137.5 Å³ per cell. Number 4: ΔH_f (0 K) -1.39 eV/f.u., calculated volume 103.9 Å³ per cell. Number 5: ΔH_f (0 K) -2.97 eV/f.u., calculated volume 343.6 Å³ per cell. Number 6: ΔH_f (0 K) -7.32 eV/f.u., calculated volume 193.5 Å³ per cell. Number 7: ΔH_f (0 K) -3.06 eV/f.u., calculated volume 445.4 Å³ per cell.